# 1
Density functional theory data (PBE) for a relaxed structure of Rb3UPa3N8.

Summary:
Total magnetic moment   0.00 μB/cell
Density of states at the Fermi level   0.0 states/eV/cell
ΔE_f (raw)   -1199 meV per atom
Crystal system   trigonal

```
data_Rb3UPa3N8
_chemical_formula_sum 'Rb9 U3 Pa9 N24'
_cell_length_a 7.1618
_cell_length_b 7.1618
_cell_length_c 20.4074
_cell_angle_alpha 90.00
_cell_angle_beta 90.00
_cell_angle_gamma 120.00
_symmetry_space_group_name_H-M 'R -3 m'
_symmetry_Int_Tables_number 166
_symmetry_space_group_name_Hall '-R 3 2"'
loop_
_atom_site_label
_atom_site_type_symbol
_atom_site_fract_x
_atom_site_fract_y
_atom_site_fract_z
Rb1 Rb 0.0000 0.5000 0.0000
U1 U 0.0000 0.0000 0.5000
Pa1 Pa 0.0000 0.5000 0.5000
N1 N 0.0000 0.0000 0.2161
N2 N 0.0128 0.5064 0.2144
```

# 2
Density functional theory data (PBE) for a relaxed structure of Dy2ThPaTc2.

Summary:
Total magnetic moment   0.00 μB/cell
Density of states at the Fermi level   23.9 states/eV/cell
Crystal system   orthorhombic
ΔE_f   -63 meV per atom

```
data_Dy2ThPaTc2
_chemical_formula_sum 'Dy8 Th4 Pa4 Tc8'
_cell_length_a 7.071
_cell_length_b 13.281
_cell_length_c 6.833
_cell_angle_alpha 90.00
_cell_angle_beta 90.00
_cell_angle_gamma 90.00
_symmetry_space_group_name_H-M 'I b a m'
_symmetry_Int_Tables_number 72
_symmetry_space_group_name_Hall '-I 2 2c'
loop_
_atom_site_label
_atom_site_type_symbol
_atom_site_fract_x
_atom_site_fract_y
_atom_site_fract_z
Dy1 Dy 0.190 0.196 0.000
Th1 Th 0.000 0.500 0.250
Pa1 Pa 0.000 0.000 0.250
Tc1 Tc 0.218 0.095 0.500
```

# 3
Density functional theory data (PBE) for a relaxed structure of ScTaAsSe2.

Summary:
Total magnetic moment   0.28 μB/cell
Density of states at the Fermi level   3.8 states/eV/cell
ΔE_f (raw)   -171 meV per atom
Crystal system   tetragonal
Energy above the most stable polymorph in this dataset   0.000 eV/atom

```
data_ScTaAsSe2
_chemical_formula_sum 'Sc1 Ta1 As1 Se2'
_cell_length_a 4.969
_cell_length_b 4.969
_cell_length_c 5.053
_cell_angle_alpha 90.00
_cell_angle_beta 90.00
_cell_angle_gamma 90.00
_symmetry_space_group_name_H-M 'P 4/m m m'
_symmetry_Int_Tables_number 123
_symmetry_space_group_name_Hall '-P 4 2'
loop_
_atom_site_label
_atom_site_type_symbol
_atom_site_fract_x
_atom_site_fract_y
_atom_site_fract_z
Sc1 Sc 0.000 0.000 0.000
Ta1 Ta 0.500 0.500 0.500
As1 As 0.500 0.500 0.000
Se1 Se 0.000 0.500 0.500
```

# 4
Density functional theory data (PBE) for a relaxed structure of Sc2TiAlTl.

Summary:
Total magnetic moment   0.00 μB/cell
Density of states at the Fermi level   4.0 states/eV/cell
Crystal system   tetragonal
ΔE_f   482 meV per atom
Energy above the most stable polymorph in this dataset   0.159 eV/atom

```
data_Sc2TiAlTl
_chemical_formula_sum 'Sc2 Ti1 Al1 Tl1'
_cell_length_a 4.920
_cell_length_b 4.920
_cell_length_c 5.087
_cell_angle_alpha 90.00
_cell_angle_beta 90.00
_cell_angle_gamma 90.00
_symmetry_space_group_name_H-M 'P 4/m m m'
_symmetry_Int_Tables_number 123
_symmetry_space_group_name_Hall '-P 4 2'
loop_
_atom_site_label
_atom_site_type_symbol
_atom_site_fract_x
_atom_site_fract_y
_atom_site_fract_z
Sc1 Sc 0.000 0.500 0.000
Ti1 Ti 0.000 0.000 0.000
Al1 Al 0.000 0.000 0.500
Tl1 Tl 0.500 0.500 0.500
```

# 5
Density functional theory data (PBE) for a relaxed structure of La2Sm3Y3.

Summary:
Total magnetic moment   0.00 μB/cell
Density of states at the Fermi level   26.3 states/eV/cell
Crystal system   orthorhombic
ΔE_f   22 meV per atom
Energy above the most stable polymorph in this dataset   0.000 eV/atom

```
data_La2Sm3Y3
_chemical_formula_sum 'La4 Sm6 Y6'
_cell_length_a 5.159
_cell_length_b 5.163
_cell_length_c 20.445
_cell_angle_alpha 90.00
_cell_angle_beta 90.00
_cell_angle_gamma 90.00
_symmetry_space_group_name_H-M 'I m m m'
_symmetry_Int_Tables_number 71
_symmetry_space_group_name_Hall '-I 2 2'
loop_
_atom_site_label
_atom_site_type_symbol
_atom_site_fract_x
_atom_site_fract_y
_atom_site_fract_z
La1 La 0.000 0.000 0.250
Sm1 Sm 0.000 0.000 0.000
Sm2 Sm 0.000 0.500 0.123
Y1 Y 0.000 0.000 0.500
Y2 Y 0.000 0.500 0.377
```

# 6
Density functional theory data (PBE) for a relaxed structure of ZnSb2TeF.

Summary:
Total magnetic moment   0.00 μB/cell
Density of states at the Fermi level   3.5 states/eV/cell
ΔE_f (raw)   45 meV per atom
Crystal system   tetragonal
Energy above the most stable polymorph in this dataset   0.000 eV/atom

```
data_ZnSb2TeF
_chemical_formula_sum 'Zn1 Sb2 Te1 F1'
_cell_length_a 4.692
_cell_length_b 4.692
_cell_length_c 5.684
_cell_angle_alpha 90.00
_cell_angle_beta 90.00
_cell_angle_gamma 90.00
_symmetry_space_group_name_H-M 'P 4/m m m'
_symmetry_Int_Tables_number 123
_symmetry_space_group_name_Hall '-P 4 2'
loop_
_atom_site_label
_atom_site_type_symbol
_atom_site_fract_x
_atom_site_fract_y
_atom_site_fract_z
Zn1 Zn 0.000 0.000 0.000
Sb1 Sb 0.000 0.500 0.500
Te1 Te 0.500 0.500 0.000
F1 F 0.500 0.500 0.500
```

# 7
Density functional theory data (PBE) for a relaxed structure of AcTcBr.

Summary:
Total magnetic moment   0.00 μB/cell
Density of states at the Fermi level   3.2 states/eV/cell
ΔE_f (raw)   -672 meV per atom
Crystal system   monoclinic
Energy above the most stable polymorph in this dataset   0.225 eV/atom

```
data_AcTcBr
_chemical_formula_sum 'Ac2 Tc2 Br2'
_cell_length_a 4.488
_cell_length_b 4.254
_cell_length_c 9.195
_cell_angle_alpha 90.00
_cell_angle_beta 103.53
_cell_angle_gamma 90.00
_symmetry_space_group_name_H-M 'P 1 21/m 1'
_symmetry_Int_Tables_number 11
_symmetry_space_group_name_Hall '-P 2yb'
loop_
_atom_site_label
_atom_site_type_symbol
_atom_site_fract_x
_atom_site_fract_y
_atom_site_fract_z
Ac1 Ac 0.109 0.250 0.202
Tc1 Tc 0.493 0.250 0.937
Br1 Br 0.308 0.250 0.625
```

# 8
Density functional theory data (PBE) for a relaxed structure of UPaCoS4.

Summary:
Total magnetic moment   3.87 μB/cell
Density of states at the Fermi level   13.0 states/eV/cell
ΔE_f (raw)   -1285 meV per atom
Crystal system   monoclinic

```
data_UPaCoS4
_chemical_formula_sum 'U2 Pa2 Co2 S8'
_cell_length_a 6.286
_cell_length_b 5.772
_cell_length_c 7.423
_cell_angle_alpha 90.00
_cell_angle_beta 107.01
_cell_angle_gamma 90.00
_symmetry_space_group_name_H-M 'P 1 21/m 1'
_symmetry_Int_Tables_number 11
_symmetry_space_group_name_Hall '-P 2yb'
loop_
_atom_site_label
_atom_site_type_symbol
_atom_site_fract_x
_atom_site_fract_y
_atom_site_fract_z
U1 U 0.250 0.250 0.065
Pa1 Pa 0.242 0.250 0.558
Co1 Co 0.237 0.750 0.310
S1 S 0.019 0.510 0.759
S2 S 0.420 0.750 0.607
S3 S 0.428 0.750 0.109
```

# 9
Density functional theory data (PBE) for a relaxed structure of Ni2OsSe.

Summary:
Total magnetic moment   0.00 μB/cell
Density of states at the Fermi level   9.1 states/eV/cell
ΔE_f (raw)   333 meV per atom
Crystal system   monoclinic

```
data_Ni2OsSe
_chemical_formula_sum 'Ni4 Os2 Se2'
_cell_length_a 8.171
_cell_length_b 2.917
_cell_length_c 4.527
_cell_angle_alpha 90.00
_cell_angle_beta 100.59
_cell_angle_gamma 90.00
_symmetry_space_group_name_H-M 'C 1 m 1'
_symmetry_Int_Tables_number 8
_symmetry_space_group_name_Hall 'C -2y'
loop_
_atom_site_label
_atom_site_type_symbol
_atom_site_fract_x
_atom_site_fract_y
_atom_site_fract_z
Ni1 Ni 0.000 0.000 0.000
Ni2 Ni 0.244 0.500 0.202
Os1 Os 0.252 0.000 0.724
Se1 Se 0.007 0.500 0.462
```

# 10
Density functional theory data (PBE) for a relaxed structure of Hf6Mn2Sn.

Summary:
Total magnetic moment   0.00 μB/cell
Density of states at the Fermi level   24.7 states/eV/cell
Crystal system   orthorhombic
ΔE_f   -144 meV per atom

```
data_Hf6Mn2Sn
_chemical_formula_sum 'Hf24 Mn8 Sn4'
_cell_length_a 8.705
_cell_length_b 8.746
_cell_length_c 9.464
_cell_angle_alpha 90.00
_cell_angle_beta 90.00
_cell_angle_gamma 90.00
_symmetry_space_group_name_H-M 'I m m m'
_symmetry_Int_Tables_number 71
_symmetry_space_group_name_Hall '-I 2 2'
loop_
_atom_site_label
_atom_site_type_symbol
_atom_site_fract_x
_atom_site_fract_y
_atom_site_fract_z
Hf1 Hf 0.000 0.215 0.244
Hf2 Hf 0.190 0.500 0.178
Hf3 Hf 0.219 0.305 0.500
Mn1 Mn 0.000 0.334 0.000
Mn2 Mn 0.000 0.500 0.390
Sn1 Sn 0.000 0.000 0.000
Sn2 Sn 0.000 0.000 0.500
```

# 11
Density functional theory data (PBE) for a relaxed structure of Rb2DyNpSe4.

Summary:
Total magnetic moment   4.00 μB/cell
Density of states at the Fermi level   7.4 states/eV/cell
ΔE_f (raw)   -1477 meV per atom
Crystal system   monoclinic

```
data_Rb2DyNpSe4
_chemical_formula_sum 'Rb2 Dy1 Np1 Se4'
_cell_length_a 7.428
_cell_length_b 4.276
_cell_length_c 8.358
_cell_angle_alpha 90.00
_cell_angle_beta 107.22
_cell_angle_gamma 90.00
_symmetry_space_group_name_H-M 'P 1 2/m 1'
_symmetry_Int_Tables_number 10
_symmetry_space_group_name_Hall '-P 2y'
loop_
_atom_site_label
_atom_site_type_symbol
_atom_site_fract_x
_atom_site_fract_y
_atom_site_fract_z
Rb1 Rb 0.000 0.000 0.000
Rb2 Rb 0.500 0.500 0.000
Dy1 Dy 0.000 0.500 0.500
Np1 Np 0.500 0.000 0.500
Se1 Se 0.228 0.000 0.696
Se2 Se 0.265 0.500 0.305
```

| no. | calculated volume (A^3/atom) | E_tot (eV per cell) |
| --- | --- | --- |
| 1 | 20.14 | -381.78 |
| 2 | 26.74 | -188.92 |
| 3 | 24.96 | -30.66 |
| 4 | 24.63 | -24.26 |
| 5 | 34.03 | -86.45 |
| 6 | 25.03 | -14.30 |
| 7 | 28.45 | -36.33 |
| 8 | 18.39 | -106.78 |
| 9 | 13.26 | -49.89 |
| 10 | 20.02 | -333.43 |
| 11 | 31.70 | -45.23 |